# 1
First-principles (GGA-PBE) data for a geometry-optimized KSnBiS3 structure, as listed in Alexandria.

Its uncorrected formation energy is -382 kJ/mol of formula units. As for the crystal system: monoclinic. The calculation puts the total magnetization at 0.000 μB/atom. The value obtained for the total energy is -50.64 eV for the cell shown.

It has space group P2_1/m (No. 11), with a = 7.7497 Å, b = 4.0675 Å, c = 11.9320 Å, α = 90.00°, β = 101.46° and γ = 90.00°. Symmetry generates all atoms from K at (0.0541, 0.2500, 0.1772), Sn at (0.3748, 0.2500, 0.5686), Bi at (0.4520, 0.7500, 0.8552), S at (0.2086, 0.7500, 0.6434), S at (0.2652, 0.2500, 0.9491) and S at (0.3766, 0.7500, 0.2504).

=====

# 2
First-principles (GGA-PBE) data for a geometry-optimized K4SnBi3S8 structure, as listed in Alexandria.

Its uncorrected formation energy is -1197 kJ/mol of formula units. As for the crystal system: trigonal. The calculation puts the total magnetization at 0.000 μB/atom. The value obtained for the total energy is -196.38 eV for the cell shown.

It has space group R-3m (No. 166, hexagonal axes), with a = 8.2589 Å, b = 8.2589 Å, c = 22.3365 Å, α = 90.00°, β = 90.00° and γ = 120.00°. Symmetry generates all atoms from K at (0.0000, 0.0000, 0.0000), K at (0.0000, 0.5000, 0.0000), Sn at (0.0000, 0.0000, 0.5000), Bi at (0.0000, 0.5000, 0.5000), S at (0.0000, 0.0000, 0.2375) and S at (0.0065, 0.5032, 0.2359).

=====

# 3
First-principles (GGA-PBE) data for a geometry-optimized KSnBiS2 structure, as listed in Alexandria.

Its uncorrected formation energy is 34 kJ/mol of formula units. As for the crystal system: tetragonal. The calculation puts the total magnetization at 0.000 μB/atom. The value obtained for the total energy is -16.89 eV for the cell shown.

It has space group P4/mmm (No. 123), with a = 5.5096 Å, b = 5.5096 Å, c = 5.8127 Å, α = 90.00°, β = 90.00° and γ = 90.00°. Symmetry generates all atoms from K at (0.0000, 0.0000, 0.0000), Sn at (0.5000, 0.5000, 0.0000), Bi at (0.5000, 0.5000, 0.5000) and S at (0.0000, 0.5000, 0.5000).

=====

# 4
First-principles (GGA-PBE) data for a geometry-optimized K2SnBiS4 structure, as listed in Alexandria.

Its uncorrected formation energy is -483 kJ/mol of formula units. As for the crystal system: tetragonal. The calculation puts the total magnetization at 0.000 μB/atom. The value obtained for the total energy is -63.20 eV for the cell shown.

It has space group I-42m (No. 121), with a = 7.8932 Å, b = 7.8932 Å, c = 7.1787 Å, α = 90.00°, β = 90.00° and γ = 90.00°. Symmetry generates all atoms from K at (0.0000, 0.5000, 0.0000), Sn at (0.0000, 0.0000, 0.0000), Bi at (0.0000, 0.0000, 0.5000) and S at (0.1793, 0.1793, 0.7629).

=====

# 5
First-principles (GGA-PBE) data for a geometry-optimized K3SnBi3S8 structure, as listed in Alexandria.

Its uncorrected formation energy is -1043 kJ/mol of formula units. As for the crystal system: trigonal. The calculation puts the total magnetization at 0.000 μB/atom. The value obtained for the total energy is -188.30 eV for the cell shown.

It has space group R-3m (No. 166, hexagonal axes), with a = 8.1240 Å, b = 8.1240 Å, c = 22.8238 Å, α = 90.00°, β = 90.00° and γ = 120.00°. Symmetry generates all atoms from K at (0.0000, 0.5000, 0.0000), Sn at (0.0000, 0.0000, 0.5000), Bi at (0.0000, 0.5000, 0.5000), S at (0.0000, 0.0000, 0.2370) and S at (0.0267, 0.5133, 0.2321).

=====

# 6
First-principles (GGA-PBE) data for a geometry-optimized K2SrBiS4 structure, as listed in Alexandria.

Its uncorrected formation energy is -814 kJ/mol of formula units. As for the crystal system: orthorhombic. The calculation puts the total magnetization at 0.000 μB/atom. The value obtained for the total energy is -130.83 eV for the cell shown.

It has space group Imma (No. 74), with a = 8.3962 Å, b = 8.9008 Å, c = 12.2217 Å, α = 90.00°, β = 90.00° and γ = 90.00°. Symmetry generates all atoms from K at (0.0000, 0.0000, 0.0000), K at (0.2500, 0.2500, 0.2500), Sr at (0.0000, 0.0000, 0.5000), Bi at (0.2500, 0.2500, 0.7500), S at (0.0000, 0.0336, 0.7449) and S at (0.2365, 0.2500, 0.5226).

=====

# 7
First-principles (GGA-PBE) data for a geometry-optimized KSr2BiS4 structure, as listed in Alexandria.

Its uncorrected formation energy is -1076 kJ/mol of formula units. As for the crystal system: orthorhombic. The calculation puts the total magnetization at 0.000 μB/atom. The value obtained for the total energy is -144.00 eV for the cell shown.

It has space group Imma (No. 74), with a = 8.5588 Å, b = 8.5618 Å, c = 11.9564 Å, α = 90.00°, β = 90.00° and γ = 90.00°. Symmetry generates all atoms from K at (0.0000, 0.0000, 0.0000), Sr at (0.0000, 0.0000, 0.5000), Sr at (0.2500, 0.2500, 0.2500), Bi at (0.2500, 0.2500, 0.7500), S at (0.0000, 0.0119, 0.7462) and S at (0.2375, 0.2500, 0.5082).

=====

# 8
First-principles (GGA-PBE) data for a geometry-optimized K2TaBi2S6 structure, as listed in Alexandria.

Its uncorrected formation energy is -851 kJ/mol of formula units. As for the crystal system: monoclinic. The calculation puts the total magnetization at 0.093 μB/atom. The value obtained for the total energy is -110.79 eV for the cell shown.

It has space group C2/m (No. 12), with a = 7.0223 Å, b = 11.8681 Å, c = 7.8104 Å, α = 90.00°, β = 108.11° and γ = 90.00°. Symmetry generates all atoms from K at (0.0000, 0.1732, 0.0000), Ta at (0.0000, 0.0000, 0.5000), Bi at (0.0000, 0.3329, 0.5000), S at (0.2172, 0.1503, 0.6935) and S at (0.2264, 0.0000, 0.3082).

=====

# 9
First-principles (GGA-PBE) data for a geometry-optimized K2Tb2BiS6 structure, as listed in Alexandria.

Its uncorrected formation energy is -1463 kJ/mol of formula units. As for the crystal system: monoclinic. The calculation puts the total magnetization at 0.000 μB/atom. The value obtained for the total energy is -110.54 eV for the cell shown.

It has space group C2/m (No. 12), with a = 6.9646 Å, b = 12.0890 Å, c = 7.9384 Å, α = 90.00°, β = 106.68° and γ = 90.00°. Symmetry generates all atoms from K at (0.0000, 0.1661, 0.0000), Tb at (0.0000, 0.3331, 0.5000), Bi at (0.0000, 0.0000, 0.5000), S at (0.2314, 0.1678, 0.6986) and S at (0.2341, 0.5000, 0.6988).

=====

# 10
First-principles (GGA-PBE) data for a geometry-optimized K3TcBi3S8 structure, as listed in Alexandria.

Its uncorrected formation energy is -967 kJ/mol of formula units. As for the crystal system: trigonal. The calculation puts the total magnetization at 0.201 μB/atom. The value obtained for the total energy is -205.03 eV for the cell shown.

It has space group R-3m (No. 166, hexagonal axes), with a = 8.0404 Å, b = 8.0404 Å, c = 22.6731 Å, α = 90.00°, β = 90.00° and γ = 120.00°. Symmetry generates all atoms from K at (0.0000, 0.5000, 0.0000), Tc at (0.0000, 0.0000, 0.5000), Bi at (0.0000, 0.5000, 0.5000), S at (0.0000, 0.0000, 0.2381) and S at (0.0390, 0.5195, 0.2289).

=====

# 11
First-principles (GGA-PBE) data for a geometry-optimized K2BiTeS4 structure, as listed in Alexandria.

Its uncorrected formation energy is -454 kJ/mol of formula units. As for the crystal system: monoclinic. The calculation puts the total magnetization at 0.000 μB/atom. The value obtained for the total energy is -121.71 eV for the cell shown.

It has space group C2/c (No. 15), with a = 11.8530 Å, b = 11.8224 Å, c = 8.3657 Å, α = 90.00°, β = 130.48° and γ = 90.00°. Symmetry generates all atoms from K at (0.0000, 0.0000, 0.0000), K at (0.2500, 0.2500, 0.0000), Bi at (0.0000, 0.5000, 0.0000), Te at (0.2500, 0.2500, 0.5000), S at (0.0295, 0.2607, 0.5072) and S at (0.2201, 0.4803, 0.4540).

=====

# 12
First-principles (GGA-PBE) data for a geometry-optimized K3TiBi3S8 structure, as listed in Alexandria.

Its uncorrected formation energy is -1282 kJ/mol of formula units. As for the crystal system: monoclinic. The calculation puts the total magnetization at 0.000 μB/atom. The value obtained for the total energy is -138.28 eV for the cell shown.

It has space group C2/m (No. 12), with a = 13.8837 Å, b = 8.0227 Å, c = 8.8690 Å, α = 90.00°, β = 121.43° and γ = 90.00°. Symmetry generates all atoms from K at (0.0000, 0.0000, 0.0000), K at (0.2500, 0.2500, 0.0000), Ti at (0.0000, 0.0000, 0.5000), Bi at (0.0000, 0.5000, 0.5000), Bi at (0.2500, 0.2500, 0.5000), S at (0.0116, 0.2224, 0.3124), S at (0.2109, 0.0000, 0.6878) and S at (0.2382, 0.5000, 0.7145).